Density functional theory data (PBE-GGA) for a geometry-optimized KCeIO2 structure.

CIF file:
```
data_KCeIO2
_symmetry_space_group_name_H-M 'P 1 21/m 1'
_symmetry_Int_Tables_number 11
_symmetry_space_group_name_Hall '-P 2yb'
_cell_length_a 7.2858
_cell_length_b 4.3381
_cell_length_c 8.7869
_cell_angle_alpha 90.00
_cell_angle_beta 105.83
_cell_angle_gamma 90.00
loop_
_atom_site_label
_atom_site_type_symbol
_atom_site_fract_x
_atom_site_fract_y
_atom_site_fract_z
_atom_site_occupancy
K1 K 0.1908 0.2500 0.4476 1
Ce1 Ce 0.1389 0.2500 0.9049 1
I1 I 0.4651 0.7500 0.7755 1
O1 O 0.0055 0.2500 0.6818 1
O2 O 0.0696 0.7500 0.9453 1
```

ΔE_f (raw) (kJ per mole of atoms): -234.2